(1)
The following is a DFT calculation (PBE) of a geometry-optimized BaLaTc structure.

## Properties
total energy = -5.32 eV per atom
total magnetization = 0.00 μB/cell

Lattice parameters (Å, degrees): 3.6416 3.6416 14.3908 90.00 90.00 90.00
Space group I4mm (No. 107)
Asymmetric unit:
Ba 0.0000 0.0000 0.0000 x2
La 0.0000 0.0000 0.7481 x2
Tc 0.0000 0.0000 0.3497 x2

=====

(2)
The following is a DFT calculation (PBE) of a geometry-optimized BaLa4Tc structure.

## Properties
total energy = -4.55 eV per atom
total magnetization = 7.53 μB/cell

Lattice parameters (Å, degrees): 9.3181 9.3181 9.3181 90.00 90.00 90.00
Space group F-43m (No. 216)
Asymmetric unit:
Ba 0.0000 0.0000 0.0000 x4
La 0.1208 0.1208 0.6208 x16
Tc 0.2500 0.2500 0.2500 x4

=====

(3)
The following is a DFT calculation (PBE) of a geometry-optimized BaLa2Tc structure.

## Properties
total energy = -5.04 eV per atom
total magnetization = 0.00 μB/cell

Lattice parameters (Å, degrees): 7.7268 7.7268 7.7268 90.00 90.00 90.00
Space group Fm-3m (No. 225)
Asymmetric unit:
Ba 0.0000 0.0000 0.0000 x4
La 0.2500 0.2500 0.2500 x8
Tc 0.0000 0.0000 0.5000 x4

=====

Values of D(E_F), in order: 6.94, 45.31, 24.71, all in states/eV per cell.